# 1
ScOsAu2 | PBE | optimized geometry

Geometry as CIF:
```
data_ScOsAu2
_symmetry_space_group_name_H-M 'P 1'
_symmetry_Int_Tables_number 1
_cell_length_a 9.222
_cell_length_b 9.222
_cell_length_c 9.222
_cell_angle_alpha 18.83
_cell_angle_beta 18.83
_cell_angle_gamma 18.83
loop_
_symmetry_equiv_pos_as_xyz
'x,y,z'
loop_
_atom_site_label
_atom_site_type_symbol
_atom_site_fract_x
_atom_site_fract_y
_atom_site_fract_z
Au1 Au 0.247 0.247 0.247
Sc1 Sc 0.755 0.755 0.755
Os1 Os 0.495 0.495 0.495
Au2 Au 0.003 0.003 0.003
```

Results
space-group type = No. 160
density = 14.637 g/cm3
M_tot = 0.00 μB per cell
final energy = -5.963 eV per atom



# 2
ScOsAu | PBE | optimized geometry

Geometry as CIF:
```
data_ScOsAu
_symmetry_space_group_name_H-M 'P 1'
_symmetry_Int_Tables_number 1
_cell_length_a 5.123
_cell_length_b 5.123
_cell_length_c 5.123
_cell_angle_alpha 148.23
_cell_angle_beta 132.60
_cell_angle_gamma 58.19
loop_
_symmetry_equiv_pos_as_xyz
'x,y,z'
loop_
_atom_site_label
_atom_site_type_symbol
_atom_site_fract_x
_atom_site_fract_y
_atom_site_fract_z
Os1 Os 0.329 0.329 0.000
Au1 Au 0.997 0.997 0.000
Sc1 Sc 0.674 0.674 0.000
```

Results
space-group type = No. 44
density = 13.877 g/cm3
M_tot = 0.00 μB per cell
final energy = -6.977 eV per atom



# 3
Sc2OsAu | PBE | optimized geometry

Geometry as CIF:
```
data_Sc2OsAu
_symmetry_space_group_name_H-M 'P 1'
_symmetry_Int_Tables_number 1
_cell_length_a 8.631
_cell_length_b 8.631
_cell_length_c 8.631
_cell_angle_alpha 21.60
_cell_angle_beta 21.60
_cell_angle_gamma 21.60
loop_
_symmetry_equiv_pos_as_xyz
'x,y,z'
loop_
_atom_site_label
_atom_site_type_symbol
_atom_site_fract_x
_atom_site_fract_y
_atom_site_fract_z
Au1 Au 0.250 0.250 0.250
Os1 Os 0.750 0.750 0.750
Sc1 Sc 0.006 0.006 0.006
Sc2 Sc 0.494 0.494 0.494
```

Results
space-group type = No. 166
density = 10.378 g/cm3
M_tot = 0.00 μB per cell
final energy = -7.067 eV per atom



# 4
ScOsAu2 | PBE | optimized geometry

Geometry as CIF:
```
data_ScOsAu2
_symmetry_space_group_name_H-M 'P 1'
_symmetry_Int_Tables_number 1
_cell_length_a 6.457
_cell_length_b 4.779
_cell_length_c 3.167
_cell_angle_alpha 90.05
_cell_angle_beta 60.54
_cell_angle_gamma 120.84
loop_
_symmetry_equiv_pos_as_xyz
'x,y,z'
loop_
_atom_site_label
_atom_site_type_symbol
_atom_site_fract_x
_atom_site_fract_y
_atom_site_fract_z
Os1 Os 0.000 0.500 0.500
Au1 Au 0.500 0.000 0.500
Sc1 Sc 0.500 0.500 0.000
Au2 Au 0.000 0.000 0.000
```

Results
space-group type = No. 65
density = 15.182 g/cm3
M_tot = 0.00 μB per cell
final energy = -6.100 eV per atom



# 5
Sc2OsAu | PBE | optimized geometry

Geometry as CIF:
```
data_Sc2OsAu
_symmetry_space_group_name_H-M 'P 1'
_symmetry_Int_Tables_number 1
_cell_length_a 9.706
_cell_length_b 9.706
_cell_length_c 9.706
_cell_angle_alpha 18.41
_cell_angle_beta 18.41
_cell_angle_gamma 18.41
loop_
_symmetry_equiv_pos_as_xyz
'x,y,z'
loop_
_atom_site_label
_atom_site_type_symbol
_atom_site_fract_x
_atom_site_fract_y
_atom_site_fract_z
Sc1 Sc 0.903 0.903 0.903
Sc2 Sc 0.097 0.097 0.097
Au1 Au 0.000 0.000 0.000
Os1 Os 0.500 0.500 0.500
```

Results
space-group type = No. 166
density = 9.944 g/cm3
M_tot = 0.00 μB per cell
final energy = -6.808 eV per atom



# 6
ScOsAu2 | PBE | optimized geometry

Geometry as CIF:
```
data_ScOsAu2
_symmetry_space_group_name_H-M 'P 1'
_symmetry_Int_Tables_number 1
_cell_length_a 3.426
_cell_length_b 3.426
_cell_length_c 5.958
_cell_angle_alpha 90.00
_cell_angle_beta 90.00
_cell_angle_gamma 90.00
loop_
_symmetry_equiv_pos_as_xyz
'x,y,z'
loop_
_atom_site_label
_atom_site_type_symbol
_atom_site_fract_x
_atom_site_fract_y
_atom_site_fract_z
Sc1 Sc 0.500 0.500 0.740
Au1 Au 0.000 0.000 0.001
Os1 Os 0.000 0.000 0.503
Au2 Au 0.500 0.500 0.256
```

Results
space-group type = No. 99
density = 14.941 g/cm3
M_tot = 0.00 μB per cell
final energy = -6.130 eV per atom



# 7
ScOsAu2 | PBE | optimized geometry

Geometry as CIF:
```
data_ScOsAu2
_symmetry_space_group_name_H-M 'P 1'
_symmetry_Int_Tables_number 1
_cell_length_a 9.645
_cell_length_b 9.645
_cell_length_c 9.645
_cell_angle_alpha 17.31
_cell_angle_beta 17.31
_cell_angle_gamma 17.31
loop_
_symmetry_equiv_pos_as_xyz
'x,y,z'
loop_
_atom_site_label
_atom_site_type_symbol
_atom_site_fract_x
_atom_site_fract_y
_atom_site_fract_z
Os1 Os 0.250 0.250 0.250
Sc1 Sc 0.750 0.750 0.750
Au1 Au 0.999 0.999 0.999
Au2 Au 0.501 0.501 0.501
```

Results
space-group type = No. 166
density = 15.070 g/cm3
M_tot = 0.47 μB per cell
final energy = -5.769 eV per atom



# 8
Sc2OsAu | PBE | optimized geometry

Geometry as CIF:
```
data_Sc2OsAu
_symmetry_space_group_name_H-M 'P 1'
_symmetry_Int_Tables_number 1
_cell_length_a 3.230
_cell_length_b 4.175
_cell_length_c 5.632
_cell_angle_alpha 90.00
_cell_angle_beta 90.00
_cell_angle_gamma 90.00
loop_
_symmetry_equiv_pos_as_xyz
'x,y,z'
loop_
_atom_site_label
_atom_site_type_symbol
_atom_site_fract_x
_atom_site_fract_y
_atom_site_fract_z
Os1 Os 0.500 0.500 0.809
Au1 Au 0.000 0.000 0.462
Sc1 Sc 0.500 0.500 0.284
Sc2 Sc 0.000 0.000 0.944
```

Results
space-group type = No. 25
density = 10.432 g/cm3
M_tot = 0.00 μB per cell
final energy = -7.100 eV per atom